--- i ---
A plane-wave DFT calculation with PBE was carried out for an optimized crystal structure of TbThAl2.

Properties
For the density of states at the Fermi level, the calculation gives 8.38 states/eV per cell.

Cell lengths 4.1883, 6.0249, 8.3235 Å; angles 90.00, 90.00, 90.00 degrees
Closest atoms and distances in Å follow each position.
Space group Pmc2_1 (No. 26)
Unique sites:
1 Tb 0.0000 0.1336 0.0000 [2 per cell]  7 Al 3.16-3.30
2 Th 0.5000 0.3658 0.3573 [2 per cell]  7 Al 3.16-3.30
3 Al 0.0000 0.3749 0.6439 [2 per cell]  2 Al 2.65
4 Al 0.5000 0.1243 0.7135 [2 per cell]  2 Al 2.65

---

--- ii ---
A plane-wave DFT calculation with PBE was carried out for an optimized crystal structure of TbThAl2.

Properties
For the density of states at the Fermi level, the calculation gives 12.15 states/eV per cell.

Cell lengths 7.3575, 7.3575, 7.3575 Å; angles 90.00, 90.00, 90.00 degrees
Closest atoms and distances in Å follow each position.
Space group Fm-3m (No. 225)
Unique sites:
1 Tb 0.0000 0.0000 0.0000 [4 per cell]  8 Al 3.19
2 Th 0.0000 0.0000 0.5000 [4 per cell]  8 Al 3.19
3 Al 0.2500 0.2500 0.2500 [8 per cell]  4 Tb 3.19, 4 Th 3.19

---

Stability check: which of them is most stable? i.

---

--- i ---
A plane-wave DFT calculation with PBE was carried out for an optimized crystal structure of TbThAl4.

Properties
For the density of states at the Fermi level, the calculation gives 9.70 states/eV per cell.

Cell lengths 7.9809, 7.9809, 7.9809 Å; angles 90.00, 90.00, 90.00 degrees
Closest atoms and distances in Å follow each position.
Space group F-43m (No. 216)
Unique sites:
1 Tb 0.0000 0.0000 0.0000 [4 per cell]  12 Al 3.31, 4 Th 3.46
2 Th 0.2500 0.2500 0.7500 [4 per cell]  12 Al 3.31, 4 Tb 3.46
3 Al 0.1248 0.1248 0.3752 [16 per cell]  6 Al 2.82-2.83

---

--- ii ---
A plane-wave DFT calculation with PBE was carried out for an optimized crystal structure of TbThAl4.

Properties
For the density of states at the Fermi level, the calculation gives 3.36 states/eV per cell.

Cell lengths 4.5858, 7.2757, 7.9562 Å; angles 90.00, 90.00, 90.00 degrees
Closest atoms and distances in Å follow each position.
Space group Immm (No. 71)
Unique sites:
1 Tb 0.0000 0.0000 0.0000 [2 per cell]  12 Al 3.20-3.23
2 Th 0.0000 0.5000 0.0000 [2 per cell]  12 Al 3.20-3.23
3 Al 0.0000 0.2533 0.3337 [8 per cell]  3 Al 2.65

---

Stability check: which of them is most stable? i.

---

--- i ---
A plane-wave DFT calculation with PBE was carried out for an optimized crystal structure of TbTiAl2.

Properties
For the density of states at the Fermi level, the calculation gives 11.34 states/eV per cell.

Cell lengths 3.1415, 3.1415, 28.7570 Å; angles 90.00, 90.00, 120.00 degrees
Closest atoms and distances in Å follow each position.
Space group R-3m (No. 166, hexagonal axes)
Unique sites:
1 Tb 0.0000 0.0000 0.0000 [3 per cell]  6 Tb 3.14, 6 Al 3.20
2 Ti 0.0000 0.0000 0.5000 [3 per cell]  6 Al 2.82, 6 Ti 3.14
3 Al 0.0000 0.0000 0.2416 [6 per cell]  3 Ti 2.82, 6 Al 3.14

---

--- ii ---
A plane-wave DFT calculation with PBE was carried out for an optimized crystal structure of TbTiAl2.

Properties
For the density of states at the Fermi level, the calculation gives 2.40 states/eV per cell.

Cell lengths 3.4528, 3.4528, 6.6359 Å; angles 90.00, 90.00, 90.00 degrees
Closest atoms and distances in Å follow each position.
Space group P4/mmm (No. 123)
Unique sites:
1 Tb 0.0000 0.0000 0.0000 [1 per cell]  8 Al 3.13, 2 Ti 3.32, 4 Tb 3.45
2 Ti 0.0000 0.0000 0.5000 [1 per cell]  8 Al 2.79
3 Al 0.5000 0.5000 0.2961 [2 per cell]  1 Al 2.71, 4 Ti 2.79

---

Stability check: which of them is most stable? ii.

---

--- i ---
A plane-wave DFT calculation with PBE was carried out for an optimized crystal structure of TbTiAl2.

Properties
For the density of states at the Fermi level, the calculation gives 18.57 states/eV per cell.

Cell lengths 6.8119, 6.8119, 6.8119 Å; angles 90.00, 90.00, 90.00 degrees
Closest atoms and distances in Å follow each position.
Space group Fm-3m (No. 225)
Unique sites:
1 Tb 0.0000 0.0000 0.0000 [4 per cell]  8 Al 2.95
2 Ti 0.0000 0.0000 0.5000 [4 per cell]  8 Al 2.95
3 Al 0.2500 0.2500 0.2500 [8 per cell]  4 Tb 2.95, 4 Ti 2.95

---

--- ii ---
A plane-wave DFT calculation with PBE was carried out for an optimized crystal structure of TbTiAl2.

Properties
For the density of states at the Fermi level, the calculation gives 2.97 states/eV per cell.

Cell lengths 4.3432, 4.3432, 4.2548 Å; angles 90.00, 90.00, 90.00 degrees
Closest atoms and distances in Å follow each position.
Space group P4/mmm (No. 123)
Unique sites:
1 Tb 0.0000 0.0000 0.0000 [1 per cell]  8 Al 3.04, 4 Ti 3.07
2 Ti 0.5000 0.5000 0.0000 [1 per cell]  8 Al 3.04, 4 Tb 3.07
3 Al 0.0000 0.5000 0.5000 [2 per cell]  4 Tb 3.04, 4 Ti 3.04, 4 Al 3.07

---

Stability check: which of them is most stable? ii.

---

--- i ---
A plane-wave DFT calculation with PBE was carried out for an optimized crystal structure of Tb6Al2Tl.

Properties
For the density of states at the Fermi level, the calculation gives 28.29 states/eV per cell.

Cell lengths 9.7564, 9.8783, 10.6859 Å; angles 90.00, 90.00, 90.00 degrees
Closest atoms and distances in Å follow each position.
Space group Immm (No. 71)
Unique sites:
1 Tb 0.0000 0.2089 0.1786 [8 per cell]  3 Al 2.97-3.13
2 Tb 0.1842 0.2247 0.5000 [8 per cell]  3 Al 3.14-3.21, 1 Tl 3.26
3 Tb 0.2033 0.5000 0.2566 [8 per cell]  2 Al 3.01-3.23, 1 Tl 3.27
4 Al 0.0000 0.0000 0.3785 [4 per cell]  1 Al 2.60
5 Al 0.1406 0.0000 0.0000 [4 per cell]  1 Al 2.74, 2 Tb 3.01
6 Tl 0.0000 0.5000 0.0000 [2 per cell]  8 Tb 3.38-3.45
7 Tl 0.0000 0.5000 0.5000 [2 per cell]  8 Tb 3.26-3.27, 2 Al 3.51

---

--- ii ---
A plane-wave DFT calculation with PBE was carried out for an optimized crystal structure of Tb6Al2Tl.

Properties
For the density of states at the Fermi level, the calculation gives 26.62 states/eV per cell.

Cell lengths 5.1030, 7.2425, 15.3313 Å; angles 90.00, 90.00, 90.00 degrees
Closest atoms and distances in Å follow each position.
Space group Immm (No. 71)
Unique sites:
1 Tb 0.0000 0.2416 0.0000 [4 per cell]  2 Al 3.10, 2 Tl 3.16
2 Tb 0.0000 0.2542 0.3301 [8 per cell]  3 Al 3.10-3.11, 1 Tl 3.19
3 Al 0.0000 0.0000 0.1671 [4 per cell]  8 Tb 3.10-3.11
4 Tl 0.0000 0.0000 0.5000 [2 per cell]  8 Tb 3.16-3.19

---

Stability check: which of them is most stable? i.

---

--- i ---
A plane-wave DFT calculation with PBE was carried out for an optimized crystal structure of Tb4Al3Tl.

Properties
For the density of states at the Fermi level, the calculation gives 8.12 states/eV per cell.

Cell lengths 4.2005, 4.4935, 11.2765 Å; angles 90.00, 90.00, 90.00 degrees
Closest atoms and distances in Å follow each position.
Space group Pmm2 (No. 25)
Unique sites:
1 Tb 0.0000 0.0000 0.0000 [1 per cell]  5 Al 3.16-3.18, 2 Tl 3.41
2 Tb 0.0000 0.5000 0.4878 [1 per cell]  6 Al 3.15-3.23, 1 Tl 3.21
3 Tb 0.5000 0.0000 0.7129 [1 per cell]  4 Tl 3.15, 3 Al 3.22-3.38
4 Tb 0.5000 0.5000 0.2162 [1 per cell]  7 Al 3.15-3.28
5 Al 0.0000 0.0000 0.2822 [1 per cell]  2 Al 2.66
6 Al 0.5000 0.0000 0.4276 [1 per cell]  2 Al 2.66
7 Al 0.5000 0.5000 0.9366 [1 per cell]  2 Tl 2.80
8 Tl 0.0000 0.5000 0.7723 [1 per cell]  2 Al 2.80

---

--- ii ---
A plane-wave DFT calculation with PBE was carried out for an optimized crystal structure of Tb4Al3Tl.

Properties
For the density of states at the Fermi level, the calculation gives 2.77 states/eV per cell.

Cell lengths 3.6369, 3.6369, 14.9378 Å; angles 90.00, 90.00, 90.00 degrees
Closest atoms and distances in Å follow each position.
Space group P4/mmm (No. 123)
Unique sites:
1 Tb 0.0000 0.0000 0.1192 [2 per cell]  8 Al 3.13-3.15
2 Tb 0.0000 0.0000 0.3618 [2 per cell]  4 Al 3.14, 4 Tl 3.30
3 Al 0.5000 0.5000 0.0000 [1 per cell]  8 Tb 3.13
4 Al 0.5000 0.5000 0.2407 [2 per cell]  8 Tb 3.14-3.15
5 Tl 0.5000 0.5000 0.5000 [1 per cell]  8 Tb 3.30, 4 Tl 3.64

---

Stability check: which of them is most stable? ii.